# 1
Material: KSr3Ca
Method: DFT, GGA-PBE
State: optimized geometry

Cell lengths 7.1172, 7.1172, 7.1172 Å; angles 90.00, 90.00, 90.00 degrees
Space group Pm-3m (No. 221)
Symmetry-distinct sites (fractional):
K 0.0000 0.0000 0.0000
Sr 0.0000 0.5000 0.5000
Ca 0.5000 0.5000 0.5000

Summary:
energy above the lowest structure with this stoichiometry: 0 meV/atom
formation energy: 0.468 eV/atom

---

# 2
Material: KSr5Ca4
Method: DFT, GGA-PBE
State: optimized geometry

Cell lengths 4.1170, 4.1170, 29.9074 Å; angles 90.00, 90.00, 90.00 degrees
Space group P4/mmm (No. 123)
Symmetry-distinct sites (fractional):
K 0.0000 0.0000 0.0000
Sr 0.5000 0.5000 0.1186
Sr 0.5000 0.5000 0.3098
Sr 0.5000 0.5000 0.5000
Ca 0.0000 0.0000 0.2141
Ca 0.0000 0.0000 0.4050

Summary:
formation energy: 0.037 eV/atom

---

# 3
Material: KSrCa2
Method: DFT, GGA-PBE
State: optimized geometry

Cell lengths 8.0612, 13.1953, 3.9742 Å; angles 90.00, 108.22, 90.00 degrees
Space group C2/m (No. 12)
Symmetry-distinct sites (fractional):
K 0.0000 0.0000 0.0000
Sr 0.0000 0.5000 0.0000
Ca 0.2500 0.2500 0.5000

Summary:
energy above the lowest structure with this stoichiometry: 48 meV/atom
formation energy: 0.130 eV/atom

---

# 4
Material: KSrCa2
Method: DFT, GGA-PBE
State: optimized geometry

Cell lengths 8.2678, 12.0043, 4.0647 Å; angles 90.00, 90.00, 90.00 degrees
Space group Cmmm (No. 65)
Symmetry-distinct sites (fractional):
K 0.0000 0.0000 0.0000
Sr 0.0000 0.5000 0.0000
Ca 0.2500 0.2500 0.5000

Summary:
energy above the lowest structure with this stoichiometry: 47 meV/atom
formation energy: 0.129 eV/atom

---

# 5
Material: KSrCa2
Method: DFT, GGA-PBE
State: optimized geometry

Cell lengths 4.4202, 6.7729, 13.5023 Å; angles 90.00, 90.00, 90.00 degrees
Space group Imm2 (No. 44)
Symmetry-distinct sites (fractional):
K 0.0000 0.0000 0.0000
Sr 0.0000 0.5000 0.7610
Ca 0.0000 0.0000 0.5160
Ca 0.0000 0.5000 0.2505

Summary:
energy above the lowest structure with this stoichiometry: 51 meV/atom
formation energy: 0.134 eV/atom

---

# 6
Material: KSrCa2
Method: DFT, GGA-PBE
State: optimized geometry

Cell lengths 6.7522, 6.7522, 4.4293 Å; angles 90.00, 90.00, 90.00 degrees
Space group P4/mmm (No. 123)
Symmetry-distinct sites (fractional):
K 0.0000 0.0000 0.0000
Sr 0.5000 0.5000 0.0000
Ca 0.0000 0.5000 0.5000

Summary:
energy above the lowest structure with this stoichiometry: 59 meV/atom
formation energy: 0.141 eV/atom

---

# 7
Material: KSrCa
Method: DFT, GGA-PBE
State: optimized geometry

Cell lengths 9.4262, 9.4262, 9.4262 Å; angles 90.00, 90.00, 90.00 degrees
Space group F-43m (No. 216)
Symmetry-distinct sites (fractional):
K 0.0000 0.0000 0.0000
Sr 0.0000 0.0000 0.5000
Ca 0.2500 0.2500 0.2500

Summary:
formation energy: 0.430 eV/atom

---

# 8
Material: KSrCa2Tl
Method: DFT, GGA-PBE
State: optimized geometry

Cell lengths 6.1992, 6.1992, 6.5172 Å; angles 90.00, 90.00, 90.00 degrees
Space group P4/mmm (No. 123)
Symmetry-distinct sites (fractional):
K 0.0000 0.0000 0.0000
Sr 0.5000 0.5000 0.0000
Ca 0.0000 0.5000 0.5000
Tl 0.5000 0.5000 0.5000

Summary:
formation energy: -0.044 eV/atom

---

# 9
Material: KSr2CaZn
Method: DFT, GGA-PBE
State: optimized geometry

Cell lengths 6.2580, 6.2580, 6.3765 Å; angles 90.00, 90.00, 90.00 degrees
Space group P4/mmm (No. 123)
Symmetry-distinct sites (fractional):
K 0.0000 0.0000 0.0000
Sr 0.0000 0.5000 0.5000
Ca 0.5000 0.5000 0.0000
Zn 0.0000 0.0000 0.5000

Summary:
energy above the lowest structure with this stoichiometry: 120 meV/atom
formation energy: 0.136 eV/atom

---

# 10
Material: KSr2CaZn
Method: DFT, GGA-PBE
State: optimized geometry

Cell lengths 6.3032, 6.3032, 6.0860 Å; angles 90.00, 90.00, 90.00 degrees
Space group P4/mmm (No. 123)
Symmetry-distinct sites (fractional):
K 0.0000 0.0000 0.0000
Sr 0.0000 0.5000 0.5000
Ca 0.5000 0.5000 0.0000
Zn 0.5000 0.5000 0.5000

Summary:
energy above the lowest structure with this stoichiometry: 0 meV/atom
formation energy: 0.017 eV/atom

---

# 11
Material: K3CaTa
Method: DFT, GGA-PBE
State: optimized geometry

Cell lengths 6.7355, 6.7355, 6.7355 Å; angles 90.00, 90.00, 90.00 degrees
Space group Pm-3m (No. 221)
Symmetry-distinct sites (fractional):
K 0.0000 0.0000 0.5000
Ca 0.5000 0.5000 0.5000
Ta 0.0000 0.0000 0.0000

Summary:
energy above the lowest structure with this stoichiometry: 0 meV/atom
formation energy: 1.391 eV/atom

---

# 12
Material: KCa3Ta
Method: DFT, GGA-PBE
State: optimized geometry

Cell lengths 5.4542, 5.4542, 5.4542 Å; angles 90.00, 90.00, 90.00 degrees
Space group Pm-3m (No. 221)
Symmetry-distinct sites (fractional):
K 0.0000 0.0000 0.0000
Ca 0.0000 0.0000 0.5000
Ta 0.5000 0.5000 0.5000

Summary:
energy above the lowest structure with this stoichiometry: 849 meV/atom
formation energy: 1.737 eV/atom

---

# 13
Material: KCaTa3
Method: DFT, GGA-PBE
State: optimized geometry

Cell lengths 5.0803, 5.0803, 5.0803 Å; angles 90.00, 90.00, 90.00 degrees
Space group Pm-3m (No. 221)
Symmetry-distinct sites (fractional):
K 0.0000 0.0000 0.0000
Ca 0.5000 0.5000 0.5000
Ta 0.0000 0.5000 0.5000

Summary:
energy above the lowest structure with this stoichiometry: 37 meV/atom
formation energy: 2.761 eV/atom

---

# 14
Material: K4CaTa
Method: DFT, GGA-PBE
State: optimized geometry

Cell lengths 10.3109, 10.3109, 10.3109 Å; angles 90.00, 90.00, 90.00 degrees
Space group F-43m (No. 216)
Symmetry-distinct sites (fractional):
K 0.1234 0.1234 0.1234
Ca 0.0000 0.0000 0.5000
Ta 0.2500 0.2500 0.7500

Summary:
formation energy: 1.108 eV/atom

---

# 15
Material: K3CaTa
Method: DFT, GGA-PBE
State: optimized geometry

Cell lengths 6.9701, 6.9701, 6.9701 Å; angles 90.00, 90.00, 90.00 degrees
Space group Pm-3m (No. 221)
Symmetry-distinct sites (fractional):
K 0.0000 0.0000 0.5000
Ca 0.0000 0.0000 0.0000
Ta 0.5000 0.5000 0.5000

Summary:
energy above the lowest structure with this stoichiometry: 399 meV/atom
formation energy: 1.790 eV/atom

---

# 16
Material: KCa3Ta
Method: DFT, GGA-PBE
State: optimized geometry

Cell lengths 5.9003, 5.9003, 5.9003 Å; angles 90.00, 90.00, 90.00 degrees
Space group Pm-3m (No. 221)
Symmetry-distinct sites (fractional):
K 0.0000 0.0000 0.0000
Ca 0.0000 0.5000 0.5000
Ta 0.5000 0.5000 0.5000

Summary:
energy above the lowest structure with this stoichiometry: 0 meV/atom
formation energy: 0.887 eV/atom

---

# 17
Material: KCaTa3
Method: DFT, GGA-PBE
State: optimized geometry

Cell lengths 4.8541, 4.8541, 4.8541 Å; angles 90.00, 90.00, 90.00 degrees
Space group Pm-3m (No. 221)
Symmetry-distinct sites (fractional):
K 0.0000 0.0000 0.0000
Ca 0.5000 0.5000 0.5000
Ta 0.0000 0.0000 0.5000

Summary:
energy above the lowest structure with this stoichiometry: 0 meV/atom
formation energy: 2.724 eV/atom

---

# 18
Material: KCa2TaTe
Method: DFT, GGA-PBE
State: optimized geometry

Cell lengths 5.4287, 5.4287, 5.5945 Å; angles 90.00, 90.00, 90.00 degrees
Space group P4/mmm (No. 123)
Symmetry-distinct sites (fractional):
K 0.0000 0.0000 0.0000
Ca 0.0000 0.5000 0.0000
Ta 0.5000 0.5000 0.5000
Te 0.0000 0.0000 0.5000

Summary:
uncorrected energy: -2.49 eV per atom

---

# 19
Material: K2CaZrTa
Method: DFT, GGA-PBE
State: optimized geometry

Cell lengths 6.0742, 6.0742, 6.1480 Å; angles 90.00, 90.00, 90.00 degrees
Space group P4/mmm (No. 123)
Symmetry-distinct sites (fractional):
K 0.0000 0.5000 0.0000
Ca 0.0000 0.0000 0.5000
Zr 0.0000 0.0000 0.0000
Ta 0.5000 0.5000 0.5000

Summary:
formation energy: 2.345 eV/atom

---

# 20
Material: KCa2Tb3Te6
Method: DFT, GGA-PBE
State: optimized geometry

Cell lengths 19.7574, 4.4260, 9.1463 Å; angles 90.00, 105.23, 90.00 degrees
Space group C2/m (No. 12)
Symmetry-distinct sites (fractional):
K 0.0000 0.0000 0.0000
Ca 0.1657 0.5000 0.3307
Tb 0.0000 0.0000 0.5000
Tb 0.1640 0.5000 0.8304
Te 0.0008 0.5000 0.7331
Te 0.1661 0.0000 0.5855
Te 0.1736 0.0000 0.0810

Summary:
uncorrected energy: -4.58 eV per atom

---

Number 1: density of states at the Fermi level 7.30 states/eV/f.u.. Number 2: density of states at the Fermi level 13.01 states/eV/f.u.. Number 3: density of states at the Fermi level 3.99 states/eV/f.u.. Number 4: density of states at the Fermi level 4.25 states/eV/f.u.. Number 5: density of states at the Fermi level 3.96 states/eV/f.u.. Number 6: density of states at the Fermi level 3.42 states/eV/f.u.. Number 7: density of states at the Fermi level 3.76 states/eV/f.u.. Number 8: density of states at the Fermi level 2.83 states/eV/f.u.. Number 9: density of states at the Fermi level 4.73 states/eV/f.u.. Number 10: density of states at the Fermi level 5.19 states/eV/f.u.. Number 11: density of states at the Fermi level 7.49 states/eV/f.u.. Number 12: density of states at the Fermi level 2.64 states/eV/f.u.. Number 13: density of states at the Fermi level 9.74 states/eV/f.u.. Number 14: density of states at the Fermi level 5.91 states/eV/f.u.. Number 15: density of states at the Fermi level 7.11 states/eV/f.u.. Number 16: density of states at the Fermi level 12.30 states/eV/f.u.. Number 17: density of states at the Fermi level 10.16 states/eV/f.u.. Number 18: density of states at the Fermi level 6.85 states/eV/f.u.. Number 19: density of states at the Fermi level 8.93 states/eV/f.u.. Number 20: density of states at the Fermi level 4.67 states/eV/f.u..